[1]
This record from the Alexandria database describes a geometry-optimized Dy5OsPt2 structure. The functional is PBE.

Cell: 4.2481 7.7240 11.9855 Å, 90.00 90.00 90.00°
Closest atoms and distances in Å follow each position.
Element x y z (fractional)
Dy (0.0000, 0.0000, 0.5000)  4 Pt 2.98
Dy (0.0000, 0.1623, 0.7982)  1 Os 2.72
Dy (0.5000, 0.6765, 0.4098)  2 Os 2.75, 2 Pt 3.00-3.03
Dy (0.0000, 0.3377, 0.2982)  1 Os 2.72
Pt (0.5000, 0.5432, 0.1718)  8 Dy 2.98-3.13
Os (0.0000, 0.0000, 0.0000)  6 Dy 2.72-2.75
Dy (0.5000, 0.3235, 0.5902)  2 Os 2.75, 2 Pt 3.00-3.03
Pt (0.5000, 0.0432, 0.3282)  8 Dy 2.98-3.13
Dy (0.0000, 0.6623, 0.7018)  1 Os 2.72
Dy (0.0000, 0.8377, 0.2018)  1 Os 2.72
Os (0.0000, 0.5000, 0.5000)  6 Dy 2.72-2.75
Dy (0.5000, 0.1765, 0.0902)  2 Os 2.75, 2 Pt 3.00-3.03
Pt (0.5000, 0.4568, 0.8282)  8 Dy 2.98-3.13
Dy (0.0000, 0.5000, 0.0000)  4 Pt 2.98
Dy (0.5000, 0.8235, 0.9098)  2 Os 2.75, 2 Pt 3.00-3.03
Pt (0.5000, 0.9568, 0.6718)  8 Dy 2.98-3.13

Calculated values
* mass density: 11.8 g cm⁻³
* N(E_F): 0.713 states/eV per atom
* total moment: 0.00 μB per atom
* formation energy: -587 kJ/mol of formula units



[2]
This record from the Alexandria database describes a geometry-optimized Si3PPt structure. The functional is PBE.

Cell: 4.3954 4.3954 4.3954 Å, 90.00 90.00 90.00°
Closest atoms and distances in Å follow each position.
Element x y z (fractional)
Si (0.0000, 0.5000, 0.0000)  2 P 2.20
Si (0.0000, 0.0000, 0.5000)  2 P 2.20
P (0.0000, 0.0000, 0.0000)  6 Si 2.20
Pt (0.5000, 0.5000, 0.5000)  12 Si 3.11
Si (0.5000, 0.0000, 0.0000)  2 P 2.20

Calculated values
* mass density: 6.1 g cm⁻³
* N(E_F): 0.512 states/eV per atom
* ΔE to the lowest computed polymorph: 14.161 kcal/mol of atoms
* total moment: 0.00 μB per atom
* formation energy (no corrections): 739.3 meV/atom



[3]
This record from the Alexandria database describes a geometry-optimized PWAu2 structure. The functional is PBE.

Cell: 5.4371 5.4371 5.4371 Å, 139.58 139.58 58.49°
Closest atoms and distances in Å follow each position.
Element x y z (fractional)
W (0.0000, 0.0000, 0.0000)  4 P 2.66
Au (0.7500, 0.2500, 0.5000)  4 Au 2.66
Au (0.2500, 0.7500, 0.5000)  4 Au 2.66
P (0.5000, 0.5000, 0.0000)  4 W 2.66

Calculated values
* mass density: 15.1 g cm⁻³
* N(E_F): 0.749 states/eV per atom
* ΔE to the lowest computed polymorph: 11.985 kcal/mol of atoms
* total moment: 0.00 μB per atom
* formation energy: 242 kJ/mol of formula units



[4]
This record from the Alexandria database describes a geometry-optimized Ag5HgO6 structure. The functional is PBE.

Cell: 6.2745 6.5584 5.7912 Å, 55.51 76.33 65.33°
Closest atoms and distances in Å follow each position.
Element x y z (fractional)
Ag (0.5000, 0.8306, 0.3387)  4 O 2.11-2.14
Ag (0.0000, 0.6606, 0.6789)  2 O 2.14
O (0.7419, 0.8688, 0.0000)  1 Hg 2.13, 2 Ag 2.14
O (0.7407, 0.5322, 0.6719)  3 Ag 2.10-2.14
Ag (0.0000, 0.3394, 0.3211)  2 O 2.14
Ag (0.5000, 0.5000, 0.0000)  4 O 2.10
Hg (0.0000, 0.0000, 0.0000)  2 O 2.13
O (0.2593, 0.7958, 0.6719)  3 Ag 2.10-2.14
Ag (0.5000, 0.1694, 0.6613)  4 O 2.11-2.14
O (0.2581, 0.1312, 0.0000)  1 Hg 2.13, 2 Ag 2.14
O (0.2593, 0.4678, 0.3281)  3 Ag 2.10-2.14
O (0.7407, 0.2042, 0.3281)  3 Ag 2.10-2.14

Calculated values
* mass density: 7.8 g cm⁻³
* N(E_F): 0.379 states/eV per atom
* total moment: 0.00 μB per atom
* formation energy (no corrections): -66.4 meV/atom